VASP calculation (PBE) on an optimized crystal structure of SrTaCu.

Its relative energy among the computed polymorphs is 1282 meV/atom. The mass density is 8.50 g cm⁻³. The value obtained for the calculated volume is 21.63 Å³/atom. For the total magnetization, the calculation gives 0.00 μB per formula unit.

It has space group P6_3/mmc (No. 194), with a = 5.0307 Å, b = 5.0307 Å, c = 5.9215 Å, α = 90.00°, β = 90.00° and γ = 120.00°. The distinct sites, in fractional coordinates, are Sr at (0.3333, 0.6667, 0.2500), Ta at (0.3333, 0.6667, 0.7500) and Cu at (0.0000, 0.0000, 0.0000).